Density functional theory data (GGA-PBEsol) for a relaxed CuAgP3 crystal.

Unit cell a=4.455 b=4.455 c=4.455 alpha=90.00 beta=90.00 gamma=90.00
Fractional coordinates of all 5 atoms:
P: 0.000 0.500 0.000
P: 0.000 0.000 0.500
P: 0.500 0.000 0.000
Cu: 0.000 0.000 0.000
Ag: 0.500 0.500 0.500

Properties
Electronic total energy: -20.522 eV per cell
Calculated volume: 88 Å³ per cell